The following is a PBE-GGA calculation of HoEr2Co2C2N3 after structural relaxation, from OQMD via LeMat-Bulk.

* calculated volume: 11.28 Å³ per atom
* DFT total energy: -8.09 eV per atom
* space group: I4/mmm

Geometry as POSCAR:
```
HoEr2Co2C2N3
1.0
-1.710 1.710 9.648
1.710 -1.710 9.648
1.710 1.710 -9.648
Ho Er Co C N
1 2 2 2 3
direct
0.000 0.000 0.000 Ho
0.373 0.373 0.000 Er
0.627 0.627 0.000 Er
0.250 0.750 0.500 Co
0.750 0.250 0.500 Co
0.194 0.194 0.000 C
0.806 0.806 0.000 C
0.120 0.120 0.000 N
0.500 0.500 0.000 N
0.880 0.880 0.000 N
```